VASP calculation (PBE) on a relaxed structure of V6MoW2.

Cell lengths 7.239, 7.239, 4.165 Å; angles 106.49, 106.49, 48.42 degrees
Positions (direct):
V 0.083 0.585 0.334
V 0.250 0.750 0.000
V 0.415 0.917 0.666
V 0.585 0.083 0.334
V 0.750 0.250 0.000
V 0.917 0.415 0.666
Mo 0.000 0.000 0.500
W 0.333 0.333 0.833
W 0.667 0.667 0.167

Summary:
- excess energy over the best structure of this formula in the dataset (kcal/mol of atoms) = 17.85
- spin magnetization (μB/f.u.) = 0.00
- ΔE_f (meV per atom) = 829
- calculated total energy (eV/atom) = -9.33